Density functional theory data (PBE) for a relaxed structure of Ru3PtS.

For the formation energy without anion corrections, the calculation gives 0.576 eV per atom. Its energy above the most stable polymorph in this dataset is 0.0000 eV/atom. The density is 11.09 g cm⁻³. The final energy comes out at -7.02 eV per atom. The size of the total moment is 0.00 μB per formula unit.

The space group is Pm-3m (No. 221) and the conventional cell measures 4.298, 4.298 and 4.298 Å, with angles of 90.00, 90.00 and 90.00 degrees. The distinct sites, in fractional coordinates, are Ru at (0.000, 0.000, 0.500), Pt at (0.500, 0.500, 0.500) and S at (0.000, 0.000, 0.000).